This record from Alexandria via LeMat-Bulk describes a relaxed structure of KCa2CoRh. The functional is PBE-GGA.

Values from the calculation:
- Crystal system: tetragonal
- Formation enthalpy at 0 K: 1.420 eV per atom
- Symmetry: P4/mmm (123)

Cell: 5.398 5.398 4.109 Å, 90.00 90.00 90.00°
Fractional coordinates of all 5 atoms:
K  0.000  0.000  0.000
Ca  0.000  0.500  0.000
Ca  0.500  0.000  0.000
Co  0.000  0.000  0.500
Rh  0.500  0.500  0.500